First-principles (PBE) data for a relaxed structure of RePbCBr2, as listed in Alexandria.

DOS(E_F) ... 0.4473 states/eV/atom
Energy ... -0.141 hartree per atom
Formation energy from raw total energies ... 1.91 eV/atom

Cell lengths 4.678, 5.204, 4.678 Å; angles 90.00, 90.00, 90.00 degrees
Atoms (fractional coordinates):
Pb1 0.000 0.500 0.000
Re1 0.500 0.500 0.500
C1 0.000 0.000 0.000
Br1 0.000 0.000 0.500
Br2 0.500 0.000 0.000

=====

First-principles (PBE) data for a relaxed structure of PbCSeBr2, as listed in Alexandria.

Energy above the lowest structure with this stoichiometry ... 3.49 eV per formula unit
DOS(E_F) ... 1.4397 states/eV/atom
Energy ... -0.093 hartree per atom
Formation energy from raw total energies ... 1.42 eV/atom

Cell lengths 5.708, 5.708, 5.784 Å; angles 90.00, 90.00, 90.00 degrees
Atoms (fractional coordinates):
Pb1 0.000 0.000 0.000
C1 0.500 0.500 0.500
Se1 0.000 0.000 0.500
Br1 0.000 0.500 0.000
Br2 0.500 0.000 0.000

=====

DOS(E_F) of number 1 (RePbCBr2)? 0.4473 states/eV/atom